Entry from the Alexandria database: a relaxed structure of AcZnInPt2 (PBE-GGA). Values from VASP.

Computed properties:
E_form in meV per atom: -808
Symmetry: I-4m2, No. 119
Volume in Å³/cell: 111.6

The structure in Quantum ESPRESSO input format:
```
&SYSTEM
  ibrav = 0, nat = 5, ntyp = 4
/
ATOMIC_SPECIES
Ac 227.00 Ac.upf
Zn 65.41 Zn.upf
In 114.82 In.upf
Pt 195.08 Pt.upf
ATOMIC_POSITIONS angstrom
Ac 0.000 0.000 0.000
Zn 2.124 0.000 3.094
In 0.000 2.124 3.094
Pt 0.000 0.000 4.823
Pt 0.000 0.000 7.554
CELL_PARAMETERS angstrom
-2.124 2.124 6.189
2.124 -2.124 6.189
2.124 2.124 -6.189
```